Compound: Y2Co3Si
Source: the Alexandria database
Functional: PBEsol
Structure: relaxed

CIF file:
```
data_Y2Co3Si
_chemical_formula_sum 'Y6 Co9 Si3'
_cell_length_a 5.1820
_cell_length_b 5.1820
_cell_length_c 11.3537
_cell_angle_alpha 90.00
_cell_angle_beta 90.00
_cell_angle_gamma 120.00
_symmetry_space_group_name_H-M 'R -3 m'
_symmetry_Int_Tables_number 166
_symmetry_space_group_name_Hall '-R 3 2"'
loop_
_atom_site_label
_atom_site_type_symbol
_atom_site_fract_x
_atom_site_fract_y
_atom_site_fract_z
Y1 Y 0.0000 0.0000 0.1268
Co1 Co 0.0000 0.5000 0.0000
Si1 Si 0.0000 0.0000 0.5000
```

Values from the calculation:
Crystal system: trigonal
Total moment (μB per cell): 0.001
VASP energy (eV/cell): -136.32


Compound: YCo9Si2
Source: the Alexandria database
Functional: PBEsol
Structure: relaxed

CIF file:
```
data_YCo9Si2
_chemical_formula_sum 'Y4 Co36 Si8'
_cell_length_a 9.5125
_cell_length_b 9.5125
_cell_length_c 6.1790
_cell_angle_alpha 90.00
_cell_angle_beta 90.00
_cell_angle_gamma 90.00
_symmetry_space_group_name_H-M 'I 41/a m d'
_symmetry_Int_Tables_number 141
loop_
_symmetry_equiv_pos_as_xyz
'x,y,z'
'-x,-y,-z'
'-y+1/4,x+3/4,z+1/4'
'y+1/4,-x+3/4,-z+1/4'
'-x+1/2,-y,z+1/2'
'x+1/2,y,-z+1/2'
'y+1/4,-x+1/4,z+3/4'
'-y+1/4,x+1/4,-z+3/4'
'x,-y,-z'
'-x,y,z'
'-y+1/4,-x+1/4,-z+3/4'
'y+1/4,x+1/4,z+3/4'
'-x+1/2,y,-z+1/2'
'x+1/2,-y,z+1/2'
'y+1/4,x+3/4,-z+1/4'
'-y+1/4,-x+3/4,z+1/4'
'x+1/2,y+1/2,z+1/2'
'-x+1/2,-y+1/2,-z+1/2'
'-y+3/4,x+1/4,z+3/4'
'y+3/4,-x+1/4,-z+3/4'
'-x,-y+1/2,z'
'x,y+1/2,-z'
'y+3/4,-x+3/4,z+1/4'
'-y+3/4,x+3/4,-z+1/4'
'x+1/2,-y+1/2,-z+1/2'
'-x+1/2,y+1/2,z+1/2'
'-y+3/4,-x+3/4,-z+1/4'
'y+3/4,x+3/4,z+1/4'
'-x,y+1/2,-z'
'x,-y+1/2,z'
'y+3/4,x+1/4,-z+3/4'
'-y+3/4,-x+1/4,z+3/4'
loop_
_atom_site_label
_atom_site_type_symbol
_atom_site_fract_x
_atom_site_fract_y
_atom_site_fract_z
Y1 Y 0.0000 0.2500 0.3750
Co1 Co 0.0000 0.2500 0.8750
Co2 Co 0.1237 0.0440 0.6828
Si1 Si 0.0000 0.0000 0.0000
```

Values from the calculation:
Crystal system: tetragonal
Total moment (μB per cell): 35.664
VASP energy (eV/cell): -368.93


Compound: Y2CoSi2
Source: the Alexandria database
Functional: PBEsol
Structure: relaxed

CIF file:
```
data_Y2CoSi2
_chemical_formula_sum 'Y8 Co4 Si8'
_cell_length_a 10.3471
_cell_length_b 4.0852
_cell_length_c 9.8905
_cell_angle_alpha 90.00
_cell_angle_beta 119.38
_cell_angle_gamma 90.00
_symmetry_space_group_name_H-M 'C 1 2/m 1'
_symmetry_Int_Tables_number 12
loop_
_symmetry_equiv_pos_as_xyz
'x,y,z'
'-x,-y,-z'
'-x,y,-z'
'x,-y,z'
'x+1/2,y+1/2,z'
'-x+1/2,-y+1/2,-z'
'-x+1/2,y+1/2,-z'
'x+1/2,-y+1/2,z'
loop_
_atom_site_label
_atom_site_type_symbol
_atom_site_fract_x
_atom_site_fract_y
_atom_site_fract_z
Y1 Y 0.0015 0.0000 0.1717
Y2 Y 0.1864 0.0000 0.6057
Co1 Co 0.2266 0.5000 0.8794
Si1 Si 0.0044 0.5000 0.3727
Si2 Si 0.1528 0.5000 0.0667
```

Values from the calculation:
Crystal system: monoclinic
Total moment (μB per cell): 0.073
VASP energy (eV/cell): -148.33


Compound: YCoSi2
Source: the Alexandria database
Functional: PBEsol
Structure: relaxed

CIF file:
```
data_YCoSi2
_chemical_formula_sum 'Y3 Co3 Si6'
_cell_length_a 3.8448
_cell_length_b 3.8448
_cell_length_c 14.8127
_cell_angle_alpha 90.00
_cell_angle_beta 90.00
_cell_angle_gamma 120.00
_symmetry_space_group_name_H-M 'R -3 m'
_symmetry_Int_Tables_number 166
_symmetry_space_group_name_Hall '-R 3 2"'
loop_
_atom_site_label
_atom_site_type_symbol
_atom_site_fract_x
_atom_site_fract_y
_atom_site_fract_z
Y1 Y 0.0000 0.0000 0.0000
Co1 Co 0.0000 0.0000 0.5000
Si1 Si 0.0000 0.0000 0.2079
```

Values from the calculation:
Crystal system: trigonal
Total moment (μB per cell): 0.000
VASP energy (eV/cell): -88.48


Number 1: ΔE_f (raw) -0.473 eV per atom. Number 2: ΔE_f (raw) -0.357 eV per atom. Number 3: ΔE_f (raw) -0.842 eV per atom. Number 4: ΔE_f (raw) -0.860 eV per atom.